First-principles (PBE) data for a geometry-optimized Cs5Hg12I3 structure, as listed in Alexandria.

a = 18.216 Å, b = 18.216 Å, c = 18.216 Å
α = 109.47°, β = 109.47°, γ = 109.47°
Fractional coordinates of all 80 atoms:
Cs1 0.000 0.000 0.000
Cs2 0.000 0.000 0.500
Cs3 0.000 0.500 0.000
Cs4 0.000 0.500 0.500
Cs5 0.125 0.750 0.875
Cs6 0.125 0.875 0.250
Cs7 0.250 0.125 0.875
Cs8 0.250 0.625 0.375
Cs9 0.375 0.250 0.625
Cs10 0.375 0.625 0.750
Cs11 0.500 0.000 0.000
Cs12 0.500 0.000 0.500
Cs13 0.500 0.500 0.000
Cs14 0.500 0.500 0.500
Cs15 0.625 0.375 0.250
Cs16 0.625 0.750 0.375
Cs17 0.750 0.375 0.625
Cs18 0.750 0.875 0.125
Cs19 0.875 0.125 0.750
Cs20 0.875 0.250 0.125
Hg1 0.062 0.653 0.409
Hg2 0.062 0.910 0.653
Hg3 0.090 0.243 0.153
Hg4 0.090 0.347 0.938
Hg5 0.091 0.743 0.653
Hg6 0.091 0.847 0.438
Hg7 0.153 0.090 0.243
Hg8 0.153 0.243 0.591
Hg9 0.153 0.410 0.562
Hg10 0.153 0.562 0.909
Hg11 0.243 0.153 0.090
Hg12 0.243 0.591 0.153
Hg13 0.257 0.347 0.909
Hg14 0.257 0.410 0.347
Hg15 0.347 0.257 0.410
Hg16 0.347 0.591 0.938
Hg17 0.347 0.909 0.257
Hg18 0.347 0.938 0.090
Hg19 0.409 0.062 0.653
Hg20 0.409 0.847 0.757
Hg21 0.410 0.347 0.257
Hg22 0.410 0.562 0.153
Hg23 0.438 0.091 0.847
Hg24 0.438 0.847 0.590
Hg25 0.562 0.153 0.410
Hg26 0.562 0.909 0.153
Hg27 0.590 0.438 0.847
Hg28 0.590 0.653 0.743
Hg29 0.591 0.153 0.243
Hg30 0.591 0.938 0.347
Hg31 0.653 0.062 0.910
Hg32 0.653 0.091 0.743
Hg33 0.653 0.409 0.062
Hg34 0.653 0.743 0.590
Hg35 0.743 0.590 0.653
Hg36 0.743 0.653 0.091
Hg37 0.757 0.409 0.847
Hg38 0.757 0.847 0.910
Hg39 0.847 0.438 0.091
Hg40 0.847 0.590 0.438
Hg41 0.847 0.757 0.409
Hg42 0.847 0.910 0.757
Hg43 0.909 0.153 0.562
Hg44 0.909 0.257 0.347
Hg45 0.910 0.653 0.062
Hg46 0.910 0.757 0.847
Hg47 0.938 0.090 0.347
Hg48 0.938 0.347 0.591
I1 0.125 0.250 0.375
I2 0.125 0.375 0.750
I3 0.250 0.375 0.125
I4 0.250 0.875 0.625
I5 0.375 0.125 0.250
I6 0.375 0.750 0.125
I7 0.625 0.250 0.875
I8 0.625 0.875 0.750
I9 0.750 0.125 0.375
I10 0.750 0.625 0.875
I11 0.875 0.625 0.250
I12 0.875 0.750 0.625

Output
Fermi-level density of states   0.3900 states/eV per atom
Calculated volume   1163.3 Å³/f.u.
Calculated total energy   -0.928 eV/atom
ΔE_f (raw)   -0.301 eV/atom